(1)
Density functional theory data (PBE) for Ti4GeN2 after structural relaxation.

Computed properties:
* raw formation energy: -1.284 eV/atom
* space group: Cmcm (63)

```
data_Ti4GeN2
_chemical_formula_sum 'Ti8 Ge2 N4'
_space_group_name_H-M_alt 'P 1'
_space_group_IT_number 1
_cell_length_a 5.365
_cell_length_b 5.365
_cell_length_c 10.694
_cell_angle_alpha 90.00
_cell_angle_beta 90.00
_cell_angle_gamma 145.39
loop_
_space_group_symop_operation_xyz
'x,y,z'
loop_
_atom_site_label
_atom_site_fract_x
_atom_site_fract_y
_atom_site_fract_z
_atom_site_occupancy
Ti1 0.000 0.000 0.000 1
Ti2 0.000 0.000 0.500 1
Ti3 0.259 0.741 0.604 1
Ti4 0.259 0.741 0.896 1
Ti5 0.416 0.584 0.250 1
Ti6 0.584 0.416 0.750 1
Ti7 0.741 0.259 0.104 1
Ti8 0.741 0.259 0.396 1
Ge1 0.110 0.890 0.250 1
Ge2 0.890 0.110 0.750 1
N1 0.366 0.634 0.061 1
N2 0.366 0.634 0.439 1
N3 0.634 0.366 0.561 1
N4 0.634 0.366 0.939 1
```

***

(2)
Density functional theory data (PBE) for HfAl4Si2 after structural relaxation.

Computed properties:
* raw formation energy: 0.808 eV/atom
* space group: I4/mmm (139)

```
data_HfAl4Si2
_chemical_formula_sum 'Hf1 Al4 Si2'
_space_group_name_H-M_alt 'P 1'
_space_group_IT_number 1
_cell_length_a 7.315
_cell_length_b 7.315
_cell_length_c 7.315
_cell_angle_alpha 137.74
_cell_angle_beta 137.74
_cell_angle_gamma 61.30
loop_
_space_group_symop_operation_xyz
'x,y,z'
loop_
_atom_site_label
_atom_site_fract_x
_atom_site_fract_y
_atom_site_fract_z
_atom_site_occupancy
Hf1 0.000 0.000 0.000 1
Al1 0.000 0.500 0.500 1
Al2 0.214 0.214 0.000 1
Al3 0.500 0.000 0.500 1
Al4 0.786 0.786 0.000 1
Si1 0.409 0.409 0.000 1
Si2 0.591 0.591 0.000 1
```

***

(3)
Density functional theory data (PBE) for MgCuTc2 after structural relaxation.

Computed properties:
* E_form: 1.18 eV per formula unit
* space group: Pmmm (47)

```
data_MgCuTc2
_chemical_formula_sum 'Mg1 Cu1 Tc2'
_space_group_name_H-M_alt 'P 1'
_space_group_IT_number 1
_cell_length_a 2.624
_cell_length_b 4.397
_cell_length_c 5.093
_cell_angle_alpha 90.00
_cell_angle_beta 90.00
_cell_angle_gamma 90.00
loop_
_space_group_symop_operation_xyz
'x,y,z'
loop_
_atom_site_label
_atom_site_fract_x
_atom_site_fract_y
_atom_site_fract_z
_atom_site_occupancy
Mg1 0.000 0.000 0.000 1
Cu1 0.000 0.000 0.500 1
Tc1 0.500 0.500 0.250 1
Tc2 0.500 0.500 0.750 1
```

***

(4)
Density functional theory data (PBE) for CuRe2P after structural relaxation.

Computed properties:
* E_form: 0.65 eV per formula unit
* space group: Immm (71)

```
data_CuRe2P
_chemical_formula_sum 'Cu1 Re2 P1'
_space_group_name_H-M_alt 'P 1'
_space_group_IT_number 1
_cell_length_a 5.447
_cell_length_b 5.447
_cell_length_c 5.447
_cell_angle_alpha 149.73
_cell_angle_beta 135.17
_cell_angle_gamma 55.05
loop_
_space_group_symop_operation_xyz
'x,y,z'
loop_
_atom_site_label
_atom_site_fract_x
_atom_site_fract_y
_atom_site_fract_z
_atom_site_occupancy
Cu1 0.000 0.000 0.000 1
Re1 0.300 0.800 0.500 1
Re2 0.700 0.200 0.500 1
P1 0.500 0.500 0.000 1
```

***

(5)
Density functional theory data (PBE) for DyScBeNi after structural relaxation.

Computed properties:
* E_form: -0.66 eV per formula unit
* space group: F-43m (216)

```
data_DyScBeNi
_chemical_formula_sum 'Dy1 Sc1 Be1 Ni1'
_space_group_name_H-M_alt 'P 1'
_space_group_IT_number 1
_cell_length_a 4.653
_cell_length_b 4.653
_cell_length_c 4.653
_cell_angle_alpha 60.00
_cell_angle_beta 60.00
_cell_angle_gamma 60.00
loop_
_space_group_symop_operation_xyz
'x,y,z'
loop_
_atom_site_label
_atom_site_fract_x
_atom_site_fract_y
_atom_site_fract_z
_atom_site_occupancy
Dy1 0.000 0.000 0.000 1
Sc1 0.500 0.500 0.500 1
Be1 0.250 0.250 0.250 1
Ni1 0.750 0.750 0.750 1
```

***

(6)
Density functional theory data (PBE) for ZnSiSe2 after structural relaxation.

Computed properties:
* raw formation energy: -0.093 eV/atom
* space group: I-42d (122)

```
data_ZnSiSe2
_chemical_formula_sum 'Zn2 Si2 Se4'
_space_group_name_H-M_alt 'P 1'
_space_group_IT_number 1
_cell_length_a 7.316
_cell_length_b 7.316
_cell_length_c 7.316
_cell_angle_alpha 131.46
_cell_angle_beta 131.46
_cell_angle_gamma 71.08
loop_
_space_group_symop_operation_xyz
'x,y,z'
loop_
_atom_site_label
_atom_site_fract_x
_atom_site_fract_y
_atom_site_fract_z
_atom_site_occupancy
Zn1 0.000 0.000 0.000 1
Zn2 0.750 0.250 0.500 1
Si1 0.250 0.750 0.500 1
Si2 0.500 0.500 0.000 1
Se1 0.100 0.625 0.975 1
Se2 0.375 0.350 0.475 1
Se3 0.650 0.125 0.025 1
Se4 0.875 0.900 0.525 1
```